# Rb3Na2YF9 | the Alexandria database | PBE | relaxed
data_Rb3Na2YF9
_cell_length_a 6.2915
_cell_length_b 6.2915
_cell_length_c 7.9732
_cell_angle_alpha 90.00
_cell_angle_beta 90.00
_cell_angle_gamma 120.00
_space_group_name_H-M_alt 'P -3 m 1'
_space_group_IT_number 164
_space_group_name_Hall '-P 3 2"'
loop_
_atom_site_label
_atom_site_fract_x
_atom_site_fract_y
_atom_site_fract_z
_atom_site_occupancy
Rb1 0.0000 0.0000 0.0000 1
Rb2 0.3333 0.6667 0.6959 1
Na1 0.3333 0.6667 0.1804 1
Y1 0.0000 0.0000 0.5000 1
F1 0.0000 0.5000 0.0000 1
F2 0.1613 0.3227 0.3378 1
# * raw formation energy: -2.931 eV per atom
# * energy: -4.854 eV per atom
# * calculated density: 3.42 g/cm³